# 1
# Th4AlFe

Crystalline Th4AlFe at its relaxed geometry (GGA-PBE, the Alexandria database).

Cell: 6.009 6.009 6.009 Å, 111.10 111.10 106.27°
Element x y z (fractional)
1 Th 0.091 0.609 0.904
2 Th 0.391 0.295 0.483
3 Th 0.705 0.188 0.096
4 Th 0.812 0.909 0.517
5 Al 0.250 0.750 0.500
6 Fe 0.500 0.500 0.000

Results
space group: I-4 (82)
excess energy over the best structure of this formula in the dataset: 236.2 meV per atom

---

# 2
# TbGe6S8

Crystalline TbGe6S8 at its relaxed geometry (GGA-PBE, the Alexandria database).

Cell: 7.359 7.359 7.359 Å, 77.54 77.54 77.54°
Element x y z (fractional)
1 Tb 0.000 0.000 0.000
2 Ge 0.132 0.361 0.602
3 Ge 0.361 0.602 0.132
4 Ge 0.398 0.868 0.639
5 Ge 0.602 0.132 0.361
6 Ge 0.639 0.398 0.868
7 Ge 0.868 0.639 0.398
8 S 0.134 0.805 0.324
9 S 0.195 0.676 0.866
10 S 0.288 0.288 0.288
11 S 0.324 0.134 0.805
12 S 0.676 0.866 0.195
13 S 0.712 0.712 0.712
14 S 0.805 0.324 0.134
15 S 0.866 0.195 0.676

Results
formation energy without anion corrections: -0.464 eV/atom
space group: R-3 (148)

---

# 3
# K3Rh

Crystalline K3Rh at its relaxed geometry (GGA-PBE, the Alexandria database).

Cell: 10.491 10.491 10.491 Å, 150.27 150.27 42.54°
Element x y z (fractional)
1 K 0.000 0.500 0.500
2 K 0.134 0.134 0.000
3 K 0.250 0.750 0.500
4 K 0.500 0.000 0.500
5 K 0.750 0.250 0.500
6 K 0.866 0.866 0.000
7 Rh 0.367 0.367 0.000
8 Rh 0.633 0.633 0.000

Results
uncorrected energy: -2.055 eV per atom
space group: I4/mmm (139)

---

# 4
# KHoCuO2

Crystalline KHoCuO2 at its relaxed geometry (GGA-PBE, the Alexandria database).

Cell: 7.371 5.637 6.659 Å, 90.00 112.77 90.00°
Element x y z (fractional)
1 K 0.000 0.198 0.250
2 K 0.000 0.802 0.750
3 Ho 0.500 0.494 0.750
4 Ho 0.500 0.506 0.250
5 Cu 0.500 0.000 0.000
6 Cu 0.500 0.000 0.500
7 O 0.377 0.294 0.444
8 O 0.377 0.706 0.944
9 O 0.623 0.294 0.056
10 O 0.623 0.706 0.556

Results
formation energy without anion corrections: -1.727 eV/atom
space group: P2/c (13)

---

# 5
# Na2CeTh2Te6

Crystalline Na2CeTh2Te6 at its relaxed geometry (GGA-PBE, the Alexandria database).

Cell: 7.795 7.795 8.046 Å, 99.24 99.24 120.21°
Element x y z (fractional)
1 Na 0.165 0.835 0.000
2 Na 0.835 0.165 0.000
3 Ce 0.000 0.000 0.500
4 Th 0.334 0.666 0.500
5 Th 0.666 0.334 0.500
6 Te 0.081 0.418 0.741
7 Te 0.260 0.260 0.259
8 Te 0.418 0.081 0.741
9 Te 0.582 0.919 0.259
10 Te 0.740 0.740 0.741
11 Te 0.919 0.582 0.259

Results
formation energy without anion corrections: -1.174 eV/atom
space group: C2/m (12)

---

# 6
# Li12CdAg2

Crystalline Li12CdAg2 at its relaxed geometry (GGA-PBE, the Alexandria database).

Cell: 5.403 5.403 20.510 Å, 90.00 90.00 90.00°
Element x y z (fractional)
1 Li 0.001 0.501 0.104
2 Li 0.001 0.999 0.896
3 Li 0.066 0.566 0.562
4 Li 0.066 0.934 0.438
5 Li 0.250 0.250 0.203
6 Li 0.250 0.250 0.325
7 Li 0.250 0.250 0.675
8 Li 0.250 0.250 0.797
9 Li 0.434 0.566 0.438
10 Li 0.434 0.934 0.562
11 Li 0.499 0.501 0.896
12 Li 0.499 0.999 0.104
13 Li 0.501 0.001 0.896
14 Li 0.501 0.499 0.104
15 Li 0.566 0.066 0.438
16 Li 0.566 0.434 0.562
17 Li 0.750 0.750 0.203
18 Li 0.750 0.750 0.325
19 Li 0.750 0.750 0.675
20 Li 0.750 0.750 0.797
21 Li 0.934 0.066 0.562
22 Li 0.934 0.434 0.438
23 Li 0.999 0.001 0.104
24 Li 0.999 0.499 0.896
25 Cd 0.250 0.750 0.000
26 Cd 0.750 0.250 0.000
27 Ag 0.250 0.750 0.219
28 Ag 0.250 0.750 0.781
29 Ag 0.750 0.250 0.219
30 Ag 0.750 0.250 0.781

Results
uncorrected energy: -1.908 eV per atom
space group: P4/nbm (125)

---

# 7
# CrC5

Crystalline CrC5 at its relaxed geometry (GGA-PBE, the Alexandria database).

Cell: 2.594 6.469 6.469 Å, 23.20 90.00 90.00°
Element x y z (fractional)
1 Cr 0.000 0.000 0.000
2 C 0.000 0.370 0.370
3 C 0.000 0.666 0.666
4 C 0.500 0.306 0.306
5 C 0.500 0.539 0.539
6 C 0.500 0.731 0.731

Results
space group: Amm2 (38)
excess energy over the best structure of this formula in the dataset: 420.5 meV per atom

---

# 8
# Ac2ScTaO6

Crystalline Ac2ScTaO6 at its relaxed geometry (GGA-PBE, the Alexandria database).

Cell: 5.693 5.698 5.699 Å, 63.54 63.40 63.24°
Element x y z (fractional)
1 Ac 0.245 0.246 0.245
2 Ac 0.755 0.754 0.755
3 Sc 0.500 0.500 0.500
4 Ta 0.000 0.000 0.000
5 O 0.181 0.313 0.748
6 O 0.249 0.823 0.683
7 O 0.315 0.742 0.178
8 O 0.685 0.258 0.822
9 O 0.751 0.177 0.317
10 O 0.819 0.687 0.252

Results
formation energy without anion corrections: -3.068 eV/atom
space group: P-1 (2)